[1]
# La2ReAu2, optimized geometry, DFT PBE
# - energy of formation (meV/atom) = -29
# - total moment (Bohr magnetons per cell) = 0.00
data_La2ReAu2
_symmetry_space_group_name_H-M 'I 4/m m m'
_symmetry_Int_Tables_number 139
_symmetry_space_group_name_Hall '-I 4 2'
_cell_length_a 3.7687
_cell_length_b 3.7687
_cell_length_c 17.7119
_cell_angle_alpha 90.00
_cell_angle_beta 90.00
_cell_angle_gamma 90.00
loop_
_atom_site_label
_atom_site_type_symbol
_atom_site_fract_x
_atom_site_fract_y
_atom_site_fract_z
La1 La 0.0000 0.0000 0.0951
Re1 Re 0.0000 0.0000 0.5000
Au1 Au 0.0000 0.5000 0.2500

---

[2]
# La4ReAu, optimized geometry, DFT PBE
# - energy of formation (meV/atom) = 815
# - total moment (Bohr magnetons per cell) = 0.09
data_La4ReAu
_symmetry_space_group_name_H-M 'F -4 3 m'
_symmetry_Int_Tables_number 216
_symmetry_space_group_name_Hall 'F -4 2 3'
_cell_length_a 8.6791
_cell_length_b 8.6791
_cell_length_c 8.6791
_cell_angle_alpha 90.00
_cell_angle_beta 90.00
_cell_angle_gamma 90.00
loop_
_atom_site_label
_atom_site_type_symbol
_atom_site_fract_x
_atom_site_fract_y
_atom_site_fract_z
La1 La 0.1240 0.1240 0.1240
Re1 Re 0.2500 0.2500 0.7500
Au1 Au 0.0000 0.0000 0.5000

---

[3]
# LaRe2Au, optimized geometry, DFT PBE
# - energy of formation (meV/atom) = 588
# - total moment (Bohr magnetons per cell) = 0.00
# - ΔE to the lowest computed polymorph (eV per formula unit) = 2.03
data_LaRe2Au
_symmetry_space_group_name_H-M 'I -4 m 2'
_symmetry_Int_Tables_number 119
_symmetry_space_group_name_Hall 'I -4 -2'
_cell_length_a 4.5197
_cell_length_b 4.5197
_cell_length_c 7.5162
_cell_angle_alpha 90.00
_cell_angle_beta 90.00
_cell_angle_gamma 90.00
loop_
_atom_site_label
_atom_site_type_symbol
_atom_site_fract_x
_atom_site_fract_y
_atom_site_fract_z
La1 La 0.0000 0.0000 0.0000
Re1 Re 0.0000 0.0000 0.5000
Re2 Re 0.0000 0.5000 0.7500
Au1 Au 0.0000 0.5000 0.2500

---

[4]
# LaRe2Au, optimized geometry, DFT PBE
# - energy of formation (meV/atom) = 732
# - total moment (Bohr magnetons per cell) = 0.00
# - ΔE to the lowest computed polymorph (eV per formula unit) = 2.61
data_LaRe2Au
_symmetry_space_group_name_H-M 'P 4/m m m'
_symmetry_Int_Tables_number 123
_symmetry_space_group_name_Hall '-P 4 2'
_cell_length_a 3.5291
_cell_length_b 3.5291
_cell_length_c 6.7493
_cell_angle_alpha 90.00
_cell_angle_beta 90.00
_cell_angle_gamma 90.00
loop_
_atom_site_label
_atom_site_type_symbol
_atom_site_fract_x
_atom_site_fract_y
_atom_site_fract_z
La1 La 0.0000 0.0000 0.0000
Re1 Re 0.5000 0.5000 0.3227
Au1 Au 0.0000 0.0000 0.5000

---

[5]
# LaRe2Au, optimized geometry, DFT PBE
# - energy of formation (meV/atom) = 608
# - total moment (Bohr magnetons per cell) = 0.00
# - ΔE to the lowest computed polymorph (eV per formula unit) = 2.11
data_LaRe2Au
_symmetry_space_group_name_H-M 'C 1 2/m 1'
_symmetry_Int_Tables_number 12
_symmetry_space_group_name_Hall '-C 2y'
_cell_length_a 5.6783
_cell_length_b 10.1557
_cell_length_c 3.0017
_cell_angle_alpha 90.00
_cell_angle_beta 118.14
_cell_angle_gamma 90.00
loop_
_atom_site_label
_atom_site_type_symbol
_atom_site_fract_x
_atom_site_fract_y
_atom_site_fract_z
La1 La 0.0000 0.0000 0.0000
Re1 Re 0.2500 0.2500 0.5000
Au1 Au 0.0000 0.5000 0.0000

---

[6]
# LaRe2Au, optimized geometry, DFT PBE
# - energy of formation (meV/atom) = 773
# - total moment (Bohr magnetons per cell) = 0.00
# - ΔE to the lowest computed polymorph (eV per formula unit) = 2.77
data_LaRe2Au
_symmetry_space_group_name_H-M 'C m m m'
_symmetry_Int_Tables_number 65
_symmetry_space_group_name_Hall '-C 2 2'
_cell_length_a 6.0177
_cell_length_b 9.2639
_cell_length_c 2.7087
_cell_angle_alpha 90.00
_cell_angle_beta 90.00
_cell_angle_gamma 90.00
loop_
_atom_site_label
_atom_site_type_symbol
_atom_site_fract_x
_atom_site_fract_y
_atom_site_fract_z
La1 La 0.0000 0.0000 0.0000
Re1 Re 0.2500 0.2500 0.5000
Au1 Au 0.0000 0.5000 0.0000

---

[7]
# LaRe2Au, optimized geometry, DFT PBE
# - energy of formation (meV/atom) = 639
# - total moment (Bohr magnetons per cell) = 0.03
# - ΔE to the lowest computed polymorph (eV per formula unit) = 2.24
data_LaRe2Au
_symmetry_space_group_name_H-M 'P m m m'
_symmetry_Int_Tables_number 47
_symmetry_space_group_name_Hall '-P 2 2'
_cell_length_a 2.7856
_cell_length_b 4.4594
_cell_length_c 6.5373
_cell_angle_alpha 90.00
_cell_angle_beta 90.00
_cell_angle_gamma 90.00
loop_
_atom_site_label
_atom_site_type_symbol
_atom_site_fract_x
_atom_site_fract_y
_atom_site_fract_z
La1 La 0.0000 0.0000 0.0000
Re1 Re 0.5000 0.5000 0.3170
Au1 Au 0.0000 0.0000 0.5000

---

[8]
# LaRe2Au, optimized geometry, DFT PBE
# - energy of formation (meV/atom) = 846
# - total moment (Bohr magnetons per cell) = 0.00
# - ΔE to the lowest computed polymorph (eV per formula unit) = 3.06
data_LaRe2Au
_symmetry_space_group_name_H-M 'R -3 m'
_symmetry_Int_Tables_number 166
_symmetry_space_group_name_Hall '-R 3 2"'
_cell_length_a 2.8803
_cell_length_b 2.8803
_cell_length_c 31.0380
_cell_angle_alpha 90.00
_cell_angle_beta 90.00
_cell_angle_gamma 120.00
loop_
_atom_site_label
_atom_site_type_symbol
_atom_site_fract_x
_atom_site_fract_y
_atom_site_fract_z
La1 La 0.0000 0.0000 0.0000
Re1 Re 0.0000 0.0000 0.2414
Au1 Au 0.0000 0.0000 0.5000

---

[9]
# LaRe2Au, optimized geometry, DFT PBE
# - energy of formation (meV/atom) = 596
# - total moment (Bohr magnetons per cell) = 0.00
# - ΔE to the lowest computed polymorph (eV per formula unit) = 2.06
data_LaRe2Au
_symmetry_space_group_name_H-M 'P m m m'
_symmetry_Int_Tables_number 47
_symmetry_space_group_name_Hall '-P 2 2'
_cell_length_a 3.3005
_cell_length_b 4.7129
_cell_length_c 4.9825
_cell_angle_alpha 90.00
_cell_angle_beta 90.00
_cell_angle_gamma 90.00
loop_
_atom_site_label
_atom_site_type_symbol
_atom_site_fract_x
_atom_site_fract_y
_atom_site_fract_z
La1 La 0.0000 0.0000 0.0000
Re1 Re 0.0000 0.5000 0.5000
Re2 Re 0.5000 0.0000 0.5000
Au1 Au 0.5000 0.5000 0.0000

---

[10]
# LaRe2Au, optimized geometry, DFT PBE
# - energy of formation (meV/atom) = 600
# - total moment (Bohr magnetons per cell) = 0.02
# - ΔE to the lowest computed polymorph (eV per formula unit) = 2.08
data_LaRe2Au
_symmetry_space_group_name_H-M 'I -4 2 d'
_symmetry_Int_Tables_number 122
_symmetry_space_group_name_Hall 'I -4 2bw'
_cell_length_a 4.2604
_cell_length_b 4.2604
_cell_length_c 19.8668
_cell_angle_alpha 90.00
_cell_angle_beta 90.00
_cell_angle_gamma 90.00
loop_
_atom_site_label
_atom_site_type_symbol
_atom_site_fract_x
_atom_site_fract_y
_atom_site_fract_z
La1 La 0.0000 0.0000 0.0000
Re1 Re 0.1442 0.2500 0.6250
Au1 Au 0.0000 0.0000 0.5000

---

[11]
# LaRe2Au, optimized geometry, DFT PBE
# - energy of formation (meV/atom) = 534
# - total moment (Bohr magnetons per cell) = 0.00
# - ΔE to the lowest computed polymorph (eV per formula unit) = 1.81
data_LaRe2Au
_symmetry_space_group_name_H-M 'P 1 2/m 1'
_symmetry_Int_Tables_number 10
_symmetry_space_group_name_Hall '-P 2y'
_cell_length_a 3.5065
_cell_length_b 5.0211
_cell_length_c 4.7079
_cell_angle_alpha 90.00
_cell_angle_beta 94.27
_cell_angle_gamma 90.00
loop_
_atom_site_label
_atom_site_type_symbol
_atom_site_fract_x
_atom_site_fract_y
_atom_site_fract_z
La1 La 0.0000 0.0000 0.0000
Re1 Re 0.3471 0.5000 0.7573
Au1 Au 0.5000 0.0000 0.5000

---

[12]
# LaRe2RuAu, optimized geometry, DFT PBE
# - energy of formation (meV/atom) = 2922
# - total moment (Bohr magnetons per cell) = 0.91
data_LaRe2RuAu
_symmetry_space_group_name_H-M 'P 4/m m m'
_symmetry_Int_Tables_number 123
_symmetry_space_group_name_Hall '-P 4 2'
_cell_length_a 4.7778
_cell_length_b 4.7778
_cell_length_c 5.2409
_cell_angle_alpha 90.00
_cell_angle_beta 90.00
_cell_angle_gamma 90.00
loop_
_atom_site_label
_atom_site_type_symbol
_atom_site_fract_x
_atom_site_fract_y
_atom_site_fract_z
La1 La 0.0000 0.0000 0.0000
Re1 Re 0.0000 0.5000 0.0000
Ru1 Ru 0.5000 0.5000 0.5000
Au1 Au 0.0000 0.0000 0.5000